(1)
## AcPr6Tl5 (PBE)

Data for crystalline AcPr6Tl5 at its relaxed geometry.

Its calculated total energy is -3.9925 eV per atom. Its space group is Cmmm (65).

a b c (Å): 8.5272 8.5272 8.9294
angles (deg): 90.00 90.00 143.99
With the nearest neighbours (Å) after each atom.
Atoms (fractional coordinates):
Ac1 0.0000 0.0000 0.0000  8 Pr 3.61-3.63, 4 Tl 3.61
Pr1 0.1744 0.8256 0.2543  7 Tl 3.35-3.62, 2 Pr 3.60, 1 Ac 3.63
Pr2 0.1744 0.8256 0.7457  7 Tl 3.35-3.62, 2 Pr 3.60, 1 Ac 3.63
Pr3 0.5000 0.5000 0.2754  6 Tl 3.31-3.48, 2 Ac 3.61
Pr4 0.5000 0.5000 0.7246  6 Tl 3.31-3.48, 2 Ac 3.61
Pr5 0.8256 0.1744 0.2543  7 Tl 3.35-3.62, 2 Pr 3.60, 1 Ac 3.63
Pr6 0.8256 0.1744 0.7457  7 Tl 3.35-3.62, 2 Pr 3.60, 1 Ac 3.63
Tl1 0.0000 0.0000 0.5000  8 Pr 3.31-3.58
Tl2 0.3301 0.6699 0.5000  8 Pr 3.35-3.43, 2 Tl 3.70
Tl3 0.3483 0.6517 0.0000  8 Pr 3.48-3.62, 2 Ac 3.61
Tl4 0.6517 0.3483 0.0000  8 Pr 3.48-3.62, 2 Ac 3.61
Tl5 0.6699 0.3301 0.5000  8 Pr 3.35-3.43, 2 Tl 3.70



(2)
## AcPr7Tl5 (PBE)

Data for crystalline AcPr7Tl5 at its relaxed geometry.

Its calculated total energy is -4.0195 eV per atom. Its space group is Imm2 (44).

a b c (Å): 8.6478 8.6478 8.6478
angles (deg): 133.54 100.47 97.44
With the nearest neighbours (Å) after each atom.
Atoms (fractional coordinates):
Ac1 0.0000 0.0000 0.0000  10 Pr 3.77-4.16, 4 Tl 4.09
Pr1 0.1589 0.4655 0.6934  5 Tl 3.31-3.46, 2 Pr 3.50-3.66
Pr2 0.2087 0.7087 0.5000  4 Tl 3.19, 2 Pr 3.50
Pr3 0.3265 0.9856 0.3409  5 Tl 3.39-3.55, 4 Pr 3.52-3.79, 1 Ac 3.77
Pr4 0.3440 0.3440 0.0000  4 Tl 3.46, 5 Pr 3.64-3.74
Pr5 0.6447 0.9856 0.6591  5 Tl 3.39-3.55, 4 Pr 3.52-3.79, 1 Ac 3.77
Pr6 0.6632 0.6632 0.0000  6 Tl 3.39-3.52, 1 Pr 3.64
Pr7 0.7721 0.4655 0.3066  5 Tl 3.31-3.46, 2 Pr 3.50-3.66
Tl1 0.4681 0.4743 0.4926  7 Pr 3.19-3.55, 3 Tl 3.32-3.42
Tl2 0.4681 0.9755 0.9938  7 Pr 3.19-3.55, 3 Tl 3.32-3.42
Tl3 0.7402 0.2402 0.5000  4 Tl 3.32, 6 Pr 3.35-3.52
Tl4 0.9817 0.4743 0.0062  7 Pr 3.19-3.55, 3 Tl 3.32-3.42
Tl5 0.9817 0.9755 0.5074  7 Pr 3.19-3.55, 3 Tl 3.32-3.42



(3)
## Ac8PrTl6 (PBE)

Data for crystalline Ac8PrTl6 at its relaxed geometry.

Its calculated total energy is -3.6300 eV per atom. Its space group is R-3 (148).

a b c (Å): 9.0416 9.0416 9.0416
angles (deg): 65.98 65.98 65.98
With the nearest neighbours (Å) after each atom.
Atoms (fractional coordinates):
Ac1 0.0503 0.3883 0.7234  5 Tl 3.46-3.57
Ac2 0.1654 0.1654 0.1654  6 Tl 3.53-3.54
Ac3 0.2766 0.9497 0.6117  5 Tl 3.46-3.57
Ac4 0.3883 0.7234 0.0503  5 Tl 3.46-3.57
Ac5 0.6117 0.2766 0.9497  5 Tl 3.46-3.57
Ac6 0.7234 0.0503 0.3883  5 Tl 3.46-3.57
Ac7 0.8346 0.8346 0.8346  6 Tl 3.53-3.54
Ac8 0.9497 0.6117 0.2766  5 Tl 3.46-3.57
Pr1 0.5000 0.5000 0.5000  6 Tl 3.41
Tl1 0.1190 0.7678 0.4441  1 Pr 3.41, 7 Ac 3.46-3.57
Tl2 0.2322 0.5559 0.8810  1 Pr 3.41, 7 Ac 3.46-3.57
Tl3 0.4441 0.1190 0.7678  1 Pr 3.41, 7 Ac 3.46-3.57
Tl4 0.5559 0.8810 0.2322  1 Pr 3.41, 7 Ac 3.46-3.57
Tl5 0.7678 0.4441 0.1190  1 Pr 3.41, 7 Ac 3.46-3.57
Tl6 0.8810 0.2322 0.5559  1 Pr 3.41, 7 Ac 3.46-3.57



(4)
## Ac6PrTl6 (PBE)

Data for crystalline Ac6PrTl6 at its relaxed geometry.

Its calculated total energy is -3.5657 eV per atom. Its space group is P6/mmm (191).

a b c (Å): 6.7941 6.7941 11.7991
angles (deg): 90.00 90.00 120.00
With the nearest neighbours (Å) after each atom.
Atoms (fractional coordinates):
Ac1 0.0000 0.0000 0.1691  6 Tl 3.55, 1 Pr 3.90
Ac2 0.0000 0.0000 0.8309  6 Tl 3.55, 1 Pr 3.90
Ac3 0.3333 0.6667 0.0000  6 Tl 3.59, 3 Ac 3.92
Ac4 0.3333 0.6667 0.5000  6 Tl 3.49
Ac5 0.6667 0.3333 0.0000  6 Tl 3.59, 3 Ac 3.92
Ac6 0.6667 0.3333 0.5000  6 Tl 3.49
Pr1 0.0000 0.0000 0.5000  8 Ac 3.90-3.92
Tl1 0.0000 0.5000 0.2552  4 Tl 3.40, 6 Ac 3.49-3.59
Tl2 0.0000 0.5000 0.7448  4 Tl 3.40, 6 Ac 3.49-3.59
Tl3 0.5000 0.0000 0.2552  4 Tl 3.40, 6 Ac 3.49-3.59
Tl4 0.5000 0.0000 0.7448  4 Tl 3.40, 6 Ac 3.49-3.59
Tl5 0.5000 0.5000 0.2552  4 Tl 3.40, 6 Ac 3.49-3.59
Tl6 0.5000 0.5000 0.7448  4 Tl 3.40, 6 Ac 3.49-3.59